# PBE Nd4SnTeN, relaxed
data_Nd4SnTeN
_chemical_formula_sum 'Nd16 Sn4 Te4 N4'
_space_group_name_H-M_alt 'C m c m'
_space_group_IT_number 63
_space_group_name_Hall '-C 2c 2'
_cell_length_a 6.744
_cell_length_b 17.103
_cell_length_c 6.795
_cell_angle_alpha 90.00
_cell_angle_beta 90.00
_cell_angle_gamma 90.00
loop_
_atom_site_label
_atom_site_type_symbol
_atom_site_fract_x
_atom_site_fract_y
_atom_site_fract_z
Nd1 Nd 0.000 0.079 0.250
Nd2 Nd 0.000 0.418 0.250
Nd3 Nd 0.250 0.250 0.000
Sn1 Sn 0.000 0.392 0.750
Te1 Te 0.000 0.110 0.750
N1 N 0.000 0.274 0.250
# Formation energy from raw total energies   -6.847 eV/f.u.
# Spin magnetization   0.0 μB/cell
# Fermi-level density of states   0.890 states/eV/atom

=====

# PBE Nd2Th4Sn3N2, relaxed
data_Nd2Th4Sn3N2
_chemical_formula_sum 'Nd4 Th8 Sn6 N4'
_space_group_name_H-M_alt 'I 4/m m m'
_space_group_IT_number 139
_space_group_name_Hall '-I 4 2'
_cell_length_a 4.831
_cell_length_b 4.831
_cell_length_c 26.264
_cell_angle_alpha 90.00
_cell_angle_beta 90.00
_cell_angle_gamma 90.00
loop_
_atom_site_label
_atom_site_type_symbol
_atom_site_fract_x
_atom_site_fract_y
_atom_site_fract_z
Nd1 Nd 0.000 0.000 0.197
Th1 Th 0.000 0.500 0.083
Sn1 Sn 0.000 0.000 0.323
Sn2 Sn 0.000 0.000 0.500
N1 N 0.000 0.000 0.100
# Formation energy from raw total energies   -9.733 eV/f.u.
# Spin magnetization   0.0 μB/cell
# Fermi-level density of states   0.778 states/eV/atom

=====

# PBE Nd2SnWN5, relaxed
data_Nd2SnWN5
_chemical_formula_sum 'Nd8 Sn4 W4 N20'
_space_group_name_H-M_alt 'C m c 21'
_space_group_IT_number 36
_cell_length_a 3.437
_cell_length_b 13.848
_cell_length_c 10.644
_cell_angle_alpha 90.00
_cell_angle_beta 90.00
_cell_angle_gamma 90.00
loop_
_space_group_symop_operation_xyz
'x,y,z'
'-x,-y,z+1/2'
'-x,y,z'
'x,-y,z+1/2'
'x+1/2,y+1/2,z'
'-x+1/2,-y+1/2,z+1/2'
'-x+1/2,y+1/2,z'
'x+1/2,-y+1/2,z+1/2'
loop_
_atom_site_label
_atom_site_type_symbol
_atom_site_fract_x
_atom_site_fract_y
_atom_site_fract_z
Nd1 Nd 0.000 0.105 0.000
Nd2 Nd 0.000 0.152 0.598
Sn1 Sn 0.000 0.220 0.317
W1 W 0.000 0.481 0.763
N1 N 0.000 0.049 0.343
N2 N 0.000 0.277 0.961
N3 N 0.000 0.323 0.691
N4 N 0.000 0.381 0.317
N5 N 0.000 0.487 0.091
# Formation energy from raw total energies   -5.640 eV/f.u.
# Spin magnetization   0.0 μB/cell
# Fermi-level density of states   0.485 states/eV/atom

=====

# PBE SrNdN, relaxed
data_SrNdN
_chemical_formula_sum 'Sr1 Nd1 N1'
_space_group_name_H-M_alt 'P 3 m 1'
_space_group_IT_number 156
_cell_length_a 3.7759
_cell_length_b 3.7759
_cell_length_c 6.5328
_cell_angle_alpha 90.00
_cell_angle_beta 90.00
_cell_angle_gamma 120.00
loop_
_space_group_symop_operation_xyz
'x,y,z'
'-y,x-y,z'
'-x+y,-x,z'
'-y,-x,z'
'-x+y,y,z'
'x,x-y,z'
loop_
_atom_site_label
_atom_site_type_symbol
_atom_site_fract_x
_atom_site_fract_y
_atom_site_fract_z
Sr1 Sr 0.0000 0.0000 0.0000
Nd1 Nd 0.3333 0.6667 0.5601
N1 N 0.6667 0.3333 0.7225
# Formation energy from raw total energies   -2.092 eV/f.u.
# Spin magnetization   0.3 μB/cell
# E above lowest polymorph   0.0000 eV per atom
# Fermi-level density of states   0.745 states/eV/atom

=====

# PBE SrNdN, relaxed
data_SrNdN
_chemical_formula_sum 'Sr2 Nd2 N2'
_space_group_name_H-M_alt 'P -6 m 2'
_space_group_IT_number 187
_space_group_name_Hall 'P -6 2'
_cell_length_a 3.6353
_cell_length_b 3.6353
_cell_length_c 13.6680
_cell_angle_alpha 90.00
_cell_angle_beta 90.00
_cell_angle_gamma 120.00
loop_
_atom_site_label
_atom_site_type_symbol
_atom_site_fract_x
_atom_site_fract_y
_atom_site_fract_z
Sr1 Sr 0.0000 0.0000 0.1078
Nd1 Nd 0.3333 0.6667 0.3887
N1 N 0.0000 0.0000 0.5000
N2 N 0.3333 0.6667 0.0000
# Formation energy from raw total energies   -1.179 eV/f.u.
# Spin magnetization   0.3 μB/cell
# E above lowest polymorph   0.3042 eV per atom
# Fermi-level density of states   0.786 states/eV/atom

=====

# PBE SrNd2TaN4, relaxed
data_SrNd2TaN4
_chemical_formula_sum 'Sr4 Nd8 Ta4 N16'
_space_group_name_H-M_alt 'C m c m'
_space_group_IT_number 63
_space_group_name_Hall '-C 2c 2'
_cell_length_a 3.539
_cell_length_b 12.556
_cell_length_c 12.633
_cell_angle_alpha 90.00
_cell_angle_beta 90.00
_cell_angle_gamma 90.00
loop_
_atom_site_label
_atom_site_type_symbol
_atom_site_fract_x
_atom_site_fract_y
_atom_site_fract_z
Sr1 Sr 0.000 0.099 0.250
Nd1 Nd 0.000 0.370 0.033
Ta1 Ta 0.000 0.170 0.750
N1 N 0.000 0.000 0.000
N2 N 0.000 0.263 0.629
N3 N 0.000 0.415 0.250
# Formation energy from raw total energies   -9.155 eV/f.u.
# Spin magnetization   0.0 μB/cell
# Fermi-level density of states   0.282 states/eV/atom

=====

# PBE SrNd2TcN4, relaxed
data_SrNd2TcN4
_chemical_formula_sum 'Sr4 Nd8 Tc4 N16'
_space_group_name_H-M_alt 'C m c m'
_space_group_IT_number 63
_space_group_name_Hall '-C 2c 2'
_cell_length_a 3.546
_cell_length_b 12.463
_cell_length_c 12.437
_cell_angle_alpha 90.00
_cell_angle_beta 90.00
_cell_angle_gamma 90.00
loop_
_atom_site_label
_atom_site_type_symbol
_atom_site_fract_x
_atom_site_fract_y
_atom_site_fract_z
Sr1 Sr 0.000 0.068 0.250
Nd1 Nd 0.000 0.371 0.041
Tc1 Tc 0.000 0.188 0.750
N1 N 0.000 0.000 0.000
N2 N 0.000 0.262 0.620
N3 N 0.000 0.404 0.250
# Formation energy from raw total energies   -6.606 eV/f.u.
# Spin magnetization   0.0 μB/cell
# Fermi-level density of states   0.445 states/eV/atom

=====

# PBE Sr2NdTc2N6, relaxed
data_Sr2NdTc2N6
_chemical_formula_sum 'Sr4 Nd2 Tc4 N12'
_space_group_name_H-M_alt 'C 1 2/m 1'
_space_group_IT_number 12
_cell_length_a 10.624
_cell_length_b 6.165
_cell_length_c 7.091
_cell_angle_alpha 90.00
_cell_angle_beta 123.05
_cell_angle_gamma 90.00
loop_
_space_group_symop_operation_xyz
'x,y,z'
'-x,-y,-z'
'-x,y,-z'
'x,-y,z'
'x+1/2,y+1/2,z'
'-x+1/2,-y+1/2,-z'
'-x+1/2,y+1/2,-z'
'x+1/2,-y+1/2,z'
loop_
_atom_site_label
_atom_site_type_symbol
_atom_site_fract_x
_atom_site_fract_y
_atom_site_fract_z
Sr1 Sr 0.214 0.000 0.176
Nd1 Nd 0.000 0.000 0.500
Tc1 Tc 0.030 0.500 0.201
N1 N 0.068 0.261 0.797
N2 N 0.230 0.500 0.386
# Formation energy from raw total energies   -6.530 eV/f.u.
# Spin magnetization   0.0 μB/cell
# Fermi-level density of states   0.397 states/eV/atom

=====

# PBE SrNdTcN3, relaxed
data_SrNdTcN3
_chemical_formula_sum 'Sr2 Nd2 Tc2 N6'
_space_group_name_H-M_alt 'P 1 21/m 1'
_space_group_IT_number 11
_cell_length_a 6.901
_cell_length_b 3.528
_cell_length_c 9.245
_cell_angle_alpha 90.00
_cell_angle_beta 100.34
_cell_angle_gamma 90.00
loop_
_space_group_symop_operation_xyz
'x,y,z'
'-x,-y,-z'
'-x,y+1/2,-z'
'x,-y+1/2,z'
loop_
_atom_site_label
_atom_site_type_symbol
_atom_site_fract_x
_atom_site_fract_y
_atom_site_fract_z
Sr1 Sr 0.240 0.250 0.247
Nd1 Nd 0.181 0.250 0.619
Tc1 Tc 0.384 0.750 0.921
N1 N 0.137 0.750 0.827
N2 N 0.168 0.750 0.442
N3 N 0.476 0.750 0.146
# Formation energy from raw total energies   -3.994 eV/f.u.
# Spin magnetization   0.0 μB/cell
# Fermi-level density of states   0.153 states/eV/atom

=====

# PBE SrNd2UN4, relaxed
data_SrNd2UN4
_chemical_formula_sum 'Sr4 Nd8 U4 N16'
_space_group_name_H-M_alt 'I m m a'
_space_group_IT_number 74
_space_group_name_Hall '-I 2b 2'
_cell_length_a 7.204
_cell_length_b 7.236
_cell_length_c 10.183
_cell_angle_alpha 90.00
_cell_angle_beta 90.00
_cell_angle_gamma 90.00
loop_
_atom_site_label
_atom_site_type_symbol
_atom_site_fract_x
_atom_site_fract_y
_atom_site_fract_z
Sr1 Sr 0.250 0.250 0.250
Nd1 Nd 0.000 0.000 0.000
Nd2 Nd 0.250 0.250 0.750
U1 U 0.000 0.000 0.500
N1 N 0.000 0.010 0.713
N2 N 0.223 0.250 0.505
# Formation energy from raw total energies   -9.881 eV/f.u.
# Spin magnetization   3.0 μB/cell
# Fermi-level density of states   0.617 states/eV/atom

=====

# PBE Sr2NdVN4, relaxed
data_Sr2NdVN4
_chemical_formula_sum 'Sr4 Nd2 V2 N8'
_space_group_name_H-M_alt 'P m n 21'
_space_group_IT_number 31
_cell_length_a 7.455
_cell_length_b 7.073
_cell_length_c 5.545
_cell_angle_alpha 90.00
_cell_angle_beta 90.00
_cell_angle_gamma 90.00
loop_
_space_group_symop_operation_xyz
'x,y,z'
'-x+1/2,-y,z+1/2'
'-x,y,z'
'x+1/2,-y,z+1/2'
loop_
_atom_site_label
_atom_site_type_symbol
_atom_site_fract_x
_atom_site_fract_y
_atom_site_fract_z
Sr1 Sr 0.243 0.165 0.000
Nd1 Nd 0.000 0.374 0.509
V1 V 0.000 0.672 0.035
N1 N 0.000 0.419 0.948
N2 N 0.000 0.670 0.359
N3 N 0.215 0.798 0.962
# Formation energy from raw total energies   -8.384 eV/f.u.
# Spin magnetization   0.0 μB/cell

=====

# PBE Sr2NdWN4, relaxed
data_Sr2NdWN4
_chemical_formula_sum 'Sr4 Nd2 W2 N8'
_space_group_name_H-M_alt 'P m n 21'
_space_group_IT_number 31
_cell_length_a 7.783
_cell_length_b 7.072
_cell_length_c 5.664
_cell_angle_alpha 90.00
_cell_angle_beta 90.00
_cell_angle_gamma 90.00
loop_
_space_group_symop_operation_xyz
'x,y,z'
'-x+1/2,-y,z+1/2'
'-x,y,z'
'x+1/2,-y,z+1/2'
loop_
_atom_site_label
_atom_site_type_symbol
_atom_site_fract_x
_atom_site_fract_y
_atom_site_fract_z
Sr1 Sr 0.248 0.158 0.000
Nd1 Nd 0.000 0.653 0.009
W1 W 0.000 0.343 0.534
N1 N 0.000 0.351 0.864
N2 N 0.000 0.603 0.434
N3 N 0.207 0.214 0.455
# Formation energy from raw total energies   -7.628 eV/f.u.
# Spin magnetization   2.0 μB/cell
# Fermi-level density of states   0.288 states/eV/atom